Computed, not measured: crystalline FeTcC2Se at its relaxed geometry at the GGA-PBE level of DFT.

Calculated values
Calculated density: 6.1 Mg/m³
Uncorrected formation energy: 7.62 eV per formula unit
Energy: -6.629 eV/atom

Lattice parameters (Å, degrees): 3.655 5.199 3.655 90.00 90.00 90.00
Last column: magnetic moment on the atom in μB.
Positions (direct):
C1 0.000 0.000 0.500  -0.06
Fe1 0.000 0.000 0.000  0.24
Se1 0.000 0.500 0.000  0.02
C2 0.500 0.000 0.000  -0.04
Tc1 0.500 0.500 0.500  2.50